1.
# Al3TlRu SCAN PBEsol geometry
# Symmetry: Pm-3m, No. 221
# E_form, meV per atom: -103
data_Al3TlRu
_cell_length_a 4.7494
_cell_length_b 4.7494
_cell_length_c 4.7494
_cell_angle_alpha 90.00
_cell_angle_beta 90.00
_cell_angle_gamma 90.00
_symmetry_space_group_name_H-M 'P 1'
_symmetry_Int_Tables_number 1
_symmetry_space_group_name_Hall 'P 1'
loop_
_atom_site_label
_atom_site_fract_x
_atom_site_fract_y
_atom_site_fract_z
Ru1 0.0000 0.0000 0.0000
Tl1 0.5000 0.5000 0.5000
Al1 0.0000 0.5000 0.0000
Al2 0.0000 0.0000 0.5000
Al3 0.5000 0.0000 0.0000

=====

2.
# LiCuNi2 SCAN PBEsol geometry
# Symmetry: Pmmm, No. 47
# E_form, meV per atom: 43
data_LiCuNi2
_cell_length_a 2.5331
_cell_length_b 4.0940
_cell_length_c 4.1027
_cell_angle_alpha 90.00
_cell_angle_beta 90.00
_cell_angle_gamma 90.00
_symmetry_space_group_name_H-M 'P 1'
_symmetry_Int_Tables_number 1
_symmetry_space_group_name_Hall 'P 1'
loop_
_atom_site_label
_atom_site_fract_x
_atom_site_fract_y
_atom_site_fract_z
Ni1 0.0000 0.0000 0.0000
Ni2 0.5000 0.5000 0.0000
Cu1 0.5000 0.0000 0.5000
Li1 0.0000 0.5000 0.5000

=====

Number 1: size of the total moment 0.000 μB/cell, E_tot -26.191 eV per atom, density of states at the Fermi level 1.51 states/eV per cell. Number 2: size of the total moment 0.004 μB/cell, E_tot -12.441 eV per atom, density of states at the Fermi level 2.33 states/eV per cell.